Record 1
11
Lattice="3.4630 -5.9644 0.0000 3.4630 5.9644 0.0000 -2.2925 0.0000 7.5541" Properties=species:S:1:pos:R:3 comment="K2Y2TeS6 (PBE, optimized geometry)" m_tot_mub_per_cell=0.00 crystal_system=monoclinic formation_energy_uncorrected_ev_per_atom=-1.361 dos_ef_per_ev_cell=0.00 pbc="T T T"
K 3.4630 3.9712 0.0000
K 3.4630 -3.9712 0.0000
Y 2.3167 1.9851 3.7771
Y 2.3167 -1.9851 3.7771
Te -1.1463 0.0000 3.7771
S -0.0208 1.9468 5.2564
S 1.0921 0.0000 2.2952
S -0.0208 -1.9468 5.2564
S 4.6543 1.9468 2.2977
S 3.5413 0.0000 5.2589
S 4.6543 -1.9468 2.2977


Record 2
7
Lattice="6.9906 -2.1868 0.0000 6.9906 2.1868 0.0000 -4.3984 0.0000 7.0481" Properties=species:S:1:pos:R:3 comment="K2Zn2Te2S (PBE, optimized geometry)" m_tot_mub_per_cell=0.00 crystal_system=monoclinic formation_energy_uncorrected_ev_per_atom=-0.823 dos_ef_per_ev_cell=0.00 pbc="T T T"
K -0.5602 0.0000 2.1651
K 10.1429 0.0000 4.8829
Zn 0.3314 0.0000 6.5564
Zn 9.2513 0.0000 0.4916
Te 3.1777 0.0000 1.8228
Te 6.4050 0.0000 5.2252
S 6.9906 0.0000 0.0000